[1]
{
  "formula": "Na2AsRuO6",
  "functional": "PBE",
  "state": "relaxed",
  "lattice": [[-3.307, 2.248, 2.779], [2.364, -1.746, 4.225], [2.947, 4.219, 0.094]],
  "species": ["Na", "Na", "As", "Ru", "O", "O", "O", "O", "O", "O"],
  "fractional_positions": [[0.039, 0.500, 0.000], [0.039, 0.000, 0.500], [0.566, 0.000, 0.000], [0.594, 0.500, 0.500], [0.692, 0.240, 0.240], [0.692, 0.240, 0.760], [0.223, 0.500, 0.500], [0.217, 0.000, 0.000], [0.692, 0.760, 0.760], [0.692, 0.760, 0.240]],
  "e_tot_ev_per_atom": -5.79,
  "magmom_total_mub_per_atom": 0.271,
  "sg": "P4mm, No. 99",
  "e_form_raw_ev_per_atom": -1.16
}

=====

[2]
{
  "formula": "Ac2Tb6Ho5",
  "functional": "PBE",
  "state": "relaxed",
  "lattice": [[-1.313, 2.290, 2.517], [-6.958, -8.684, 4.270], [14.786, -5.565, 12.776]],
  "species": ["Ac", "Ac", "Ac", "Ac", "Tb", "Tb", "Tb", "Tb", "Tb", "Tb", "Tb", "Tb", "Tb", "Tb", "Tb", "Tb", "Ho", "Ho", "Ho", "Ho", "Ho", "Ho", "Ho", "Ho", "Ho", "Ho"],
  "fractional_positions": [[0.000, 0.338, 0.279], [0.000, 0.662, 0.721], [0.000, 0.838, 0.221], [0.000, 0.162, 0.779], [0.000, 0.075, 0.362], [0.000, 0.925, 0.638], [0.000, 0.575, 0.138], [0.000, 0.425, 0.862], [0.500, 0.319, 0.118], [0.500, 0.681, 0.882], [0.500, 0.819, 0.382], [0.500, 0.181, 0.618], [0.000, 0.559, 0.425], [0.000, 0.441, 0.575], [0.000, 0.059, 0.075], [0.000, 0.941, 0.925], [0.500, 0.299, 0.448], [0.500, 0.701, 0.552], [0.500, 0.799, 0.052], [0.500, 0.201, 0.948], [0.500, 0.600, 0.282], [0.500, 0.400, 0.718], [0.500, 0.100, 0.218], [0.500, 0.900, 0.782], [0.500, 0.500, 0.000], [0.500, 0.000, 0.500]],
  "e_tot_ev_per_atom": -4.41,
  "ef_ev_per_fu": 1.54,
  "magmom_total_mub_per_atom": 0.000,
  "sg": "Pbam, No. 55"
}

=====

[3]
{
  "formula": "KOsSe2O8",
  "functional": "PBE",
  "state": "relaxed",
  "lattice": [[-3.308, 0.321, 4.642], [-4.627, -3.241, 0.830], [5.652, -5.207, 2.911]],
  "species": ["K", "Os", "Se", "Se", "O", "O", "O", "O", "O", "O", "O", "O"],
  "fractional_positions": [[0.000, 0.000, 0.500], [0.000, 0.000, 0.000], [0.623, 0.623, 0.213], [0.377, 0.377, 0.787], [0.747, 0.259, 0.824], [0.822, 0.822, 0.964], [0.656, 0.656, 0.416], [0.344, 0.344, 0.584], [0.178, 0.178, 0.036], [0.259, 0.747, 0.824], [0.741, 0.253, 0.176], [0.253, 0.741, 0.176]],
  "e_tot_ev_per_atom": -5.86,
  "magmom_total_mub_per_atom": 0.000,
  "sg": "C2/m, No. 12",
  "e_form_raw_ev_per_atom": -0.95
}

=====

[4]
{
  "formula": "SmWN2",
  "functional": "PBE",
  "state": "relaxed",
  "lattice": [[-1.890, 0.065, 2.084], [1.822, -1.314, 1.694], [2.124, 5.219, 1.764]],
  "species": ["Sm", "W", "N", "N"],
  "fractional_positions": [[0.500, 0.500, 0.500], [0.500, 0.500, 0.000], [0.000, 0.000, 0.792], [0.000, 0.000, 0.208]],
  "e_above_lowest_polymorph_mev_per_atom": 854,
  "e_tot_ev_per_atom": -8.71,
  "magmom_total_mub_per_atom": 0.000,
  "sg": "P4/mmm, No. 123",
  "e_form_raw_ev_per_atom": -0.13
}